Compound: HgRh2S2
Source: Alexandria
Functional: GGA-PBE
Structure: relaxed

Cell lengths 7.525, 7.525, 3.038 Å; angles 90.00, 90.00, 90.00 degrees
Atoms (fractional coordinates):
S1 0.361 0.861 0.000
S2 0.861 0.639 0.000
S3 0.639 0.139 0.000
S4 0.139 0.361 0.000
Rh1 0.203 0.703 0.500
Rh2 0.703 0.797 0.500
Rh3 0.797 0.297 0.500
Rh4 0.297 0.203 0.500
Hg1 0.000 0.000 0.000
Hg2 0.500 0.500 0.000

Calculated values
- Uncorrected energy: -4.44 eV/atom
- Crystal system: tetragonal
- Uncorrected formation energy: 4.917 kcal/mol of atoms
- Space group: P4/mbm, No. 127